{"formula": "LaTaTeOs2", "functional": "PBE", "state": "relaxed", "formation_energy_uncorrected_mev_per_atom": 2477, "magnetic_moment_mub_per_fu": 0.00, "final_energy_ev_per_atom": -5.999, "lattice_angstrom": [[4.774, 0.000, 0.000], [0.000, 4.774, 0.000], [0.000, 0.000, 5.685]], "species": ["La", "Ta", "Te", "Os", "Os"], "frac_coords": [[0.000, 0.000, 0.000], [0.500, 0.500, 0.500], [0.000, 0.000, 0.500], [0.000, 0.500, 0.000], [0.500, 0.000, 0.000]]}


{"formula": "RbNb2RuBr", "functional": "PBE", "state": "relaxed", "formation_energy_uncorrected_mev_per_atom": 2970, "magnetic_moment_mub_per_fu": 0.06, "final_energy_ev_per_atom": -3.442, "lattice_angstrom": [[5.031, 0.000, 0.000], [0.000, 5.031, 0.000], [0.000, 0.000, 4.646]], "species": ["Rb", "Nb", "Nb", "Ru", "Br"], "frac_coords": [[0.000, 0.000, 0.000], [0.000, 0.500, 0.000], [0.500, 0.000, 0.000], [0.000, 0.000, 0.500], [0.500, 0.500, 0.500]]}


{"formula": "K3Sr2UTe6", "functional": "PBE", "state": "relaxed", "formation_energy_uncorrected_mev_per_atom": -1215, "magnetic_moment_mub_per_fu": 1.00, "final_energy_ev_per_atom": -4.282, "lattice_angstrom": [[4.077, -7.057, 0.000], [4.077, 7.057, 0.000], [-2.739, 0.000, 8.179]], "species": ["K", "K", "K", "Sr", "Sr", "U", "Te", "Te", "Te", "Te", "Te", "Te"], "frac_coords": [[0.000, 0.000, 0.000], [0.327, 0.673, 0.000], [0.673, 0.327, 0.000], [0.166, 0.834, 0.500], [0.834, 0.166, 0.500], [0.500, 0.500, 0.500], [0.124, 0.429, 0.286], [0.269, 0.269, 0.714], [0.429, 0.124, 0.286], [0.571, 0.876, 0.714], [0.731, 0.731, 0.286], [0.876, 0.571, 0.714]]}


{"formula": "TaRe2Hg", "functional": "PBE", "state": "relaxed", "magnetic_moment_mub_per_fu": 0.00, "delta_e_f_mev_per_atom": 448, "final_energy_ev_per_atom": -8.814, "lattice_angstrom": [[4.026, 0.000, 0.000], [0.000, 4.026, 0.000], [0.000, 0.000, 8.223]], "species": ["Ta", "Ta", "Re", "Re", "Re", "Re", "Hg", "Hg"], "frac_coords": [[0.000, 0.000, 0.000], [0.500, 0.500, 0.500], [0.000, 0.000, 0.500], [0.000, 0.500, 0.250], [0.500, 0.000, 0.750], [0.500, 0.500, 0.000], [0.000, 0.500, 0.750], [0.500, 0.000, 0.250]]}